Entry 1:
DFT (GGA-PBE) results for a geometry-optimized Pr3SiS6 structure.

a = 8.787 Å, b = 8.787 Å, c = 6.702 Å
α = 90.00°, β = 90.00°, γ = 102.05°
Sites, in units of the cell vectors:
Pr1 0.097 0.903 0.500
Pr2 0.224 0.416 0.586
Pr3 0.416 0.224 0.086
Pr4 0.584 0.776 0.586
Pr5 0.776 0.584 0.086
Pr6 0.903 0.097 0.000
Si1 0.301 0.699 0.139
Si2 0.699 0.301 0.639
S1 0.083 0.603 0.286
S2 0.132 0.191 0.295
S3 0.191 0.132 0.795
S4 0.290 0.710 0.820
S5 0.397 0.917 0.286
S6 0.453 0.547 0.248
S7 0.547 0.453 0.748
S8 0.603 0.083 0.786
S9 0.710 0.290 0.320
S10 0.809 0.868 0.295
S11 0.868 0.809 0.795
S12 0.917 0.397 0.786

Density (g/cm³): 4.221
Space group: Cmc2_1 (36)
Magnetization (μB/f.u.): 0.00
N(E_F) (states/eV per atom): 0.3913

=====

Entry 2:
DFT (GGA-PBE) results for a geometry-optimized Pr2SiS structure.

a = 7.694 Å, b = 7.694 Å, c = 7.694 Å
α = 31.29°, β = 31.29°, γ = 31.29°
Sites, in units of the cell vectors:
Pr1 0.000 0.000 0.000
Pr2 0.173 0.173 0.173
Si1 0.587 0.587 0.587
S1 0.417 0.417 0.417

Density (g/cm³): 5.209
Distance to the lowest polymorph of the same formula (kcal/mol of atoms): 4.008
Space group: R3m (160)
Magnetization (μB/f.u.): 0.00
N(E_F) (states/eV per atom): 0.6674

=====

Entry 3:
DFT (GGA-PBE) results for a geometry-optimized Pr4Si3S12 structure.

a = 11.489 Å, b = 11.489 Å, c = 11.489 Å
α = 114.75°, β = 114.75°, γ = 114.75°
Sites, in units of the cell vectors:
Pr1 0.000 0.000 0.000
Pr2 0.215 0.439 0.978
Pr3 0.439 0.978 0.215
Pr4 0.478 0.939 0.715
Pr5 0.500 0.500 0.500
Pr6 0.715 0.478 0.939
Pr7 0.939 0.715 0.478
Pr8 0.978 0.215 0.439
Si1 0.145 0.973 0.357
Si2 0.357 0.145 0.973
Si3 0.473 0.645 0.857
Si4 0.645 0.857 0.473
Si5 0.857 0.473 0.645
Si6 0.973 0.357 0.145
S1 0.084 0.619 0.351
S2 0.092 0.807 0.126
S3 0.119 0.584 0.851
S4 0.126 0.092 0.807
S5 0.185 0.375 0.189
S6 0.189 0.185 0.375
S7 0.288 0.898 0.823
S8 0.307 0.592 0.626
S9 0.323 0.398 0.788
S10 0.351 0.084 0.619
S11 0.375 0.189 0.185
S12 0.398 0.788 0.323
S13 0.584 0.851 0.119
S14 0.592 0.626 0.307
S15 0.619 0.351 0.084
S16 0.626 0.307 0.592
S17 0.685 0.689 0.875
S18 0.689 0.875 0.685
S19 0.788 0.323 0.398
S20 0.807 0.126 0.092
S21 0.823 0.288 0.898
S22 0.851 0.119 0.584
S23 0.875 0.685 0.689
S24 0.898 0.823 0.288

Density (g/cm³): 3.951
Space group: R3c (161)
Magnetization (μB/f.u.): 0.00
N(E_F) (states/eV per atom): 0.0000

=====

Entry 4:
DFT (GGA-PBE) results for a geometry-optimized Pr2SiS5 structure.

a = 5.106 Å, b = 12.257 Å, c = 13.018 Å
α = 90.00°, β = 90.00°, γ = 90.00°
Sites, in units of the cell vectors:
Pr1 0.014 0.107 0.040
Pr2 0.020 0.139 0.719
Pr3 0.480 0.861 0.219
Pr4 0.486 0.893 0.540
Pr5 0.514 0.393 0.960
Pr6 0.520 0.361 0.281
Pr7 0.980 0.639 0.781
Pr8 0.986 0.607 0.460
Si1 0.091 0.082 0.369
Si2 0.409 0.918 0.869
Si3 0.591 0.418 0.631
Si4 0.909 0.582 0.131
S1 0.006 0.962 0.867
S2 0.011 0.517 0.982
S3 0.012 0.271 0.892
S4 0.018 0.485 0.265
S5 0.027 0.250 0.350
S6 0.473 0.750 0.850
S7 0.482 0.515 0.765
S8 0.488 0.729 0.392
S9 0.489 0.483 0.482
S10 0.494 0.038 0.367
S11 0.506 0.538 0.133
S12 0.511 0.983 0.018
S13 0.512 0.229 0.108
S14 0.518 0.015 0.735
S15 0.527 0.250 0.650
S16 0.973 0.750 0.150
S17 0.982 0.985 0.235
S18 0.988 0.771 0.608
S19 0.989 0.017 0.518
S20 0.994 0.462 0.633

Density (g/cm³): 3.834
Distance to the lowest polymorph of the same formula (kcal/mol of atoms): 1.842
Space group: P2_12_12_1 (19)
Magnetization (μB/f.u.): 0.00
N(E_F) (states/eV per atom): 0.0000

=====

Entry 5:
DFT (GGA-PBE) results for a geometry-optimized PrSiS3 structure.

a = 6.675 Å, b = 7.549 Å, c = 11.104 Å
α = 90.00°, β = 124.32°, γ = 90.00°
Sites, in units of the cell vectors:
Pr1 0.213 0.127 0.252
Pr2 0.213 0.373 0.752
Pr3 0.787 0.627 0.248
Pr4 0.787 0.873 0.748
Si1 0.147 0.603 0.069
Si2 0.147 0.897 0.569
Si3 0.853 0.103 0.431
Si4 0.853 0.397 0.931
S1 0.065 0.184 0.930
S2 0.065 0.316 0.430
S3 0.287 0.684 0.946
S4 0.287 0.816 0.446
S5 0.409 0.014 0.772
S6 0.409 0.486 0.272
S7 0.591 0.514 0.728
S8 0.591 0.986 0.228
S9 0.713 0.184 0.554
S10 0.713 0.316 0.054
S11 0.935 0.684 0.570
S12 0.935 0.816 0.070

Density (g/cm³): 3.812
Space group: P2_1/c (14)
Magnetization (μB/f.u.): 0.00
N(E_F) (states/eV per atom): 0.0000

=====

Entry 6:
DFT (GGA-PBE) results for a geometry-optimized Pr4SiS2 structure.

a = 7.943 Å, b = 7.943 Å, c = 7.046 Å
α = 115.83°, β = 115.83°, γ = 30.38°
Sites, in units of the cell vectors:
Pr1 0.126 0.126 0.462
Pr2 0.372 0.372 0.034
Pr3 0.628 0.628 0.966
Pr4 0.874 0.874 0.538
Si1 0.000 0.000 0.000
S1 0.256 0.256 0.263
S2 0.744 0.744 0.737

Density (g/cm³): 5.428
Space group: C2/m (12)
Magnetization (μB/f.u.): 0.00
N(E_F) (states/eV per atom): 0.7506

=====

Entry 7:
DFT (GGA-PBE) results for a geometry-optimized Pr12Si5S3 structure.

a = 14.911 Å, b = 14.911 Å, c = 14.911 Å
α = 109.47°, β = 109.47°, γ = 109.47°
Sites, in units of the cell vectors:
Pr1 0.049 0.220 0.131
Pr2 0.049 0.329 0.918
Pr3 0.082 0.631 0.411
Pr4 0.082 0.951 0.671
Pr5 0.089 0.720 0.671
Pr6 0.089 0.869 0.418
Pr7 0.131 0.049 0.220
Pr8 0.131 0.582 0.911
Pr9 0.171 0.220 0.589
Pr10 0.171 0.451 0.582
Pr11 0.220 0.131 0.049
Pr12 0.220 0.589 0.171
Pr13 0.280 0.329 0.911
Pr14 0.280 0.451 0.369
Pr15 0.329 0.911 0.280
Pr16 0.329 0.918 0.049
Pr17 0.369 0.280 0.451
Pr18 0.369 0.589 0.918
Pr19 0.411 0.082 0.631
Pr20 0.411 0.829 0.780
Pr21 0.418 0.089 0.869
Pr22 0.418 0.829 0.549
Pr23 0.451 0.369 0.280
Pr24 0.451 0.582 0.171
Pr25 0.549 0.418 0.829
Pr26 0.549 0.631 0.720
Pr27 0.582 0.171 0.451
Pr28 0.582 0.911 0.131
Pr29 0.589 0.171 0.220
Pr30 0.589 0.918 0.369
Pr31 0.631 0.411 0.082
Pr32 0.631 0.720 0.549
Pr33 0.671 0.082 0.951
Pr34 0.671 0.089 0.720
Pr35 0.720 0.549 0.631
Pr36 0.720 0.671 0.089
Pr37 0.780 0.411 0.829
Pr38 0.780 0.869 0.951
Pr39 0.829 0.549 0.418
Pr40 0.829 0.780 0.411
Pr41 0.869 0.418 0.089
Pr42 0.869 0.951 0.780
Pr43 0.911 0.131 0.582
Pr44 0.911 0.280 0.329
Pr45 0.918 0.049 0.329
Pr46 0.918 0.369 0.589
Pr47 0.951 0.671 0.082
Pr48 0.951 0.780 0.869
Si1 0.000 0.000 0.000
Si2 0.000 0.000 0.500
Si3 0.000 0.500 0.000
Si4 0.000 0.500 0.500
Si5 0.125 0.750 0.875
Si6 0.125 0.875 0.250
Si7 0.250 0.125 0.875
Si8 0.250 0.625 0.375
Si9 0.375 0.250 0.625
Si10 0.375 0.625 0.750
Si11 0.500 0.000 0.000
Si12 0.500 0.000 0.500
Si13 0.500 0.500 0.000
Si14 0.500 0.500 0.500
Si15 0.625 0.375 0.250
Si16 0.625 0.750 0.375
Si17 0.750 0.375 0.625
Si18 0.750 0.875 0.125
Si19 0.875 0.125 0.750
Si20 0.875 0.250 0.125
S1 0.125 0.250 0.375
S2 0.125 0.375 0.750
S3 0.250 0.375 0.125
S4 0.250 0.875 0.625
S5 0.375 0.125 0.250
S6 0.375 0.750 0.125
S7 0.625 0.250 0.875
S8 0.625 0.875 0.750
S9 0.750 0.125 0.375
S10 0.750 0.625 0.875
S11 0.875 0.625 0.250
S12 0.875 0.750 0.625

Density (g/cm³): 5.016
Space group: Ia-3d (230)
Magnetization (μB/f.u.): 0.00
N(E_F) (states/eV per atom): 0.9058

=====

Entry 8:
DFT (GGA-PBE) results for a geometry-optimized Pr5SiS4 structure.

a = 7.202 Å, b = 7.202 Å, c = 7.202 Å
α = 99.52°, β = 99.52°, γ = 132.00°
Sites, in units of the cell vectors:
Pr1 0.000 0.000 0.000
Pr2 0.201 0.401 0.603
Pr3 0.401 0.799 0.200
Pr4 0.599 0.201 0.800
Pr5 0.799 0.599 0.397
Si1 0.500 0.500 0.000
S1 0.101 0.699 0.801
S2 0.301 0.101 0.402
S3 0.699 0.899 0.598
S4 0.899 0.301 0.199

Density (g/cm³): 5.636
Space group: I4/m (87)
Magnetization (μB/f.u.): 0.00
N(E_F) (states/eV per atom): 0.4564

=====

Entry 9:
DFT (GGA-PBE) results for a geometry-optimized Pr6Si4S17 structure.

a = 9.036 Å, b = 10.077 Å, c = 14.392 Å
α = 81.94°, β = 86.87°, γ = 89.28°
Sites, in units of the cell vectors:
Pr1 0.019 0.269 0.460
Pr2 0.084 0.581 0.165
Pr3 0.106 0.885 0.816
Pr4 0.332 0.911 0.342
Pr5 0.369 0.565 0.676
Pr6 0.449 0.239 0.001
Pr7 0.551 0.761 0.999
Pr8 0.631 0.435 0.324
Pr9 0.668 0.089 0.658
Pr10 0.894 0.115 0.184
Pr11 0.916 0.419 0.835
Pr12 0.981 0.731 0.540
Si1 0.231 0.938 0.099
Si2 0.249 0.999 0.583
Si3 0.251 0.560 0.923
Si4 0.275 0.559 0.394
Si5 0.725 0.441 0.606
Si6 0.749 0.440 0.077
Si7 0.751 0.001 0.417
Si8 0.769 0.062 0.901
S1 0.009 0.873 0.115
S2 0.016 0.991 0.623
S3 0.041 0.648 0.952
S4 0.068 0.642 0.722
S5 0.107 0.702 0.346
S6 0.186 0.481 0.532
S7 0.248 0.113 0.167
S8 0.258 0.386 0.852
S9 0.298 0.807 0.541
S10 0.301 0.412 0.303
S11 0.306 0.132 0.461
S12 0.321 0.982 0.957
S13 0.341 0.501 0.057
S14 0.355 0.029 0.706
S15 0.366 0.782 0.166
S16 0.383 0.712 0.839
S17 0.483 0.654 0.395
S18 0.517 0.346 0.605
S19 0.617 0.288 0.161
S20 0.634 0.218 0.834
S21 0.645 0.971 0.294
S22 0.659 0.499 0.943
S23 0.679 0.018 0.043
S24 0.694 0.868 0.539
S25 0.699 0.588 0.697
S26 0.702 0.193 0.459
S27 0.742 0.614 0.148
S28 0.752 0.887 0.833
S29 0.814 0.519 0.468
S30 0.893 0.298 0.654
S31 0.932 0.358 0.278
S32 0.959 0.352 0.048
S33 0.984 0.009 0.377
S34 0.991 0.127 0.885

Density (g/cm³): 3.852
Space group: P-1 (2)
Magnetization (μB/f.u.): 0.00
N(E_F) (states/eV per atom): 0.0000

=====

Entry 10:
DFT (GGA-PBE) results for a geometry-optimized Pr8SiS6 structure.

a = 10.526 Å, b = 10.526 Å, c = 4.160 Å
α = 90.00°, β = 90.00°, γ = 120.00°
Sites, in units of the cell vectors:
Pr1 0.033 0.708 0.255
Pr2 0.292 0.325 0.255
Pr3 0.325 0.033 0.745
Pr4 0.333 0.667 0.749
Pr5 0.667 0.333 0.251
Pr6 0.675 0.967 0.255
Pr7 0.708 0.675 0.745
Pr8 0.967 0.292 0.745
Si1 0.000 0.000 0.500
S1 0.133 0.482 0.249
S2 0.349 0.867 0.249
S3 0.482 0.349 0.751
S4 0.518 0.651 0.249
S5 0.651 0.133 0.751
S6 0.867 0.518 0.751

Density (g/cm³): 5.607
Space group: P-3 (147)
Magnetization (μB/f.u.): 0.00
N(E_F) (states/eV per atom): 0.7884

=====

Entry 11:
DFT (GGA-PBE) results for a geometry-optimized Pr2SiS structure.

a = 7.364 Å, b = 7.364 Å, c = 7.364 Å
α = 33.21°, β = 33.21°, γ = 33.21°
Sites, in units of the cell vectors:
Pr1 0.250 0.250 0.250
Pr2 0.750 0.750 0.750
Si1 0.500 0.500 0.500
S1 0.000 0.000 0.000

Density (g/cm³): 5.326
Distance to the lowest polymorph of the same formula (kcal/mol of atoms): 1.034
Space group: R-3m (166)
Magnetization (μB/f.u.): 0.00
N(E_F) (states/eV per atom): 0.3918

=====

Entry 12:
DFT (GGA-PBE) results for a geometry-optimized PrSmSiS structure.

a = 7.285 Å, b = 7.285 Å, c = 7.285 Å
α = 33.18°, β = 33.18°, γ = 33.18°
Sites, in units of the cell vectors:
Pr1 0.000 0.000 0.000
Sm1 0.500 0.500 0.500
Si1 0.752 0.752 0.752
S1 0.248 0.248 0.248

Density (g/cm³): 5.663
Space group: R3m (160)
Magnetization (μB/f.u.): 0.00
N(E_F) (states/eV per atom): 0.3946

=====

Entry 13:
DFT (GGA-PBE) results for a geometry-optimized Pr8Si3Te3S structure.

a = 8.895 Å, b = 8.895 Å, c = 8.895 Å
α = 58.15°, β = 58.15°, γ = 58.15°
Sites, in units of the cell vectors:
Pr1 0.241 0.241 0.241
Pr2 0.241 0.738 0.738
Pr3 0.262 0.262 0.759
Pr4 0.262 0.759 0.262
Pr5 0.738 0.241 0.738
Pr6 0.738 0.738 0.241
Pr7 0.759 0.262 0.262
Pr8 0.759 0.759 0.759
Si1 0.000 0.000 0.500
Si2 0.000 0.500 0.000
Si3 0.500 0.000 0.000
Te1 0.000 0.500 0.500
Te2 0.500 0.000 0.500
Te3 0.500 0.500 0.000
S1 0.500 0.500 0.500

Density (g/cm³): 5.666
Space group: R-3m (166)
Magnetization (μB/f.u.): 1.09
N(E_F) (states/eV per atom): 0.4379

=====

Entry 14:
DFT (GGA-PBE) results for a geometry-optimized Pr8SiTe3S3 structure.

a = 8.488 Å, b = 8.488 Å, c = 8.765 Å
α = 118.96°, β = 118.96°, γ = 60.00°
Sites, in units of the cell vectors:
Pr1 0.236 0.236 0.708
Pr2 0.236 0.741 0.717
Pr3 0.259 0.259 0.282
Pr4 0.259 0.764 0.283
Pr5 0.741 0.236 0.717
Pr6 0.741 0.741 0.718
Pr7 0.764 0.259 0.283
Pr8 0.764 0.764 0.292
Si1 0.500 0.500 0.500
Te1 0.000 0.500 0.000
Te2 0.500 0.000 0.000
Te3 0.500 0.500 0.000
S1 0.000 0.000 0.500
S2 0.000 0.500 0.500
S3 0.500 0.000 0.500

Density (g/cm³): 5.986
Space group: C2/m (12)
Magnetization (μB/f.u.): 0.00
N(E_F) (states/eV per atom): 0.5697

=====

Values of ΔE_f (raw), in order: -1.62 -1.21 -1.42 -1.48 -1.35 -1.26 -0.45 -1.79 -1.47 -1.48 -1.33 -1.35 -1.13 -1.50, all in eV per atom.